[1]
! ScOsPb | Alexandria | PBE-GGA | optimized geometry; values from VASP
! **Space-group type**: Imm2
! **Offset from the most stable computed form**: 0.034 eV/atom
! **N(E_F)**: 0.5667 states/eV/atom
! **E_form**: 0.087 eV/atom
&SYSTEM
  ibrav = 0, nat = 3, ntyp = 3
/
ATOMIC_SPECIES
Os 190.23 Os.upf
Pb 207.20 Pb.upf
Sc 44.96 Sc.upf
CELL_PARAMETERS angstrom
5.2604 -0.0015 -0.0048
2.8126 4.4453 0.0048
-3.8355 -2.5869 2.5036
ATOMIC_POSITIONS angstrom
Os 0.0727 0.0400 0.0000
Pb 2.7406 1.5086 0.0000
Sc 5.2596 2.8952 0.0000

=====

[2]
! AcHoAlAu | Alexandria | PBE-GGA | optimized geometry; values from VASP
! **Space-group type**: F-43m
! **N(E_F)**: 0.8750 states/eV/atom
! **E_form**: -0.444 eV/atom
&SYSTEM
  ibrav = 0, nat = 4, ntyp = 4
/
ATOMIC_SPECIES
Ac 227.00 Ac.upf
Au 196.97 Au.upf
Ho 164.93 Ho.upf
Al 26.98 Al.upf
CELL_PARAMETERS angstrom
5.3747 0.0000 0.0000
2.6874 4.6546 0.0000
2.6874 1.5515 4.3884
ATOMIC_POSITIONS angstrom
Ac 2.6874 1.5515 1.0971
Au 5.3747 3.1031 2.1942
Ho 8.0621 4.6546 3.2913
Al 0.0000 0.0000 0.0000

=====

[3]
! Ba5Yb2ZrAl2O13 | Alexandria | PBE-GGA | optimized geometry; values from VASP
! **Space-group type**: P6_3/mmc
! **Formation energy (no corrections)**: -2.90 eV per atom
! **N(E_F)**: 0.9415 states/eV/atom
&SYSTEM
  ibrav = 0, nat = 46, ntyp = 5
/
ATOMIC_SPECIES
Ba 137.33 Ba.upf
Yb 173.04 Yb.upf
Zr 91.22 Zr.upf
Al 26.98 Al.upf
O 16.00 O.upf
CELL_PARAMETERS angstrom
-3.0069 4.8124 -2.0144
-2.8253 -4.1310 3.3482
6.2636 12.6691 20.9165
ATOMIC_POSITIONS angstrom
Ba 0.5057 5.7099 12.8861
Ba -0.0742 7.6406 9.3642
Ba -2.6867 2.3565 0.6403
Ba 3.1181 10.9940 21.6100
Ba 0.8610 1.7415 2.8751
Ba 5.4027 10.9277 18.0413
Ba 3.9928 8.0760 13.3334
Ba 2.2708 4.5931 7.5831
Ba -1.3199 2.0174 6.7898
Ba 1.7514 11.3331 15.4605
Yb -2.2318 0.1730 3.7446
Yb 2.6633 13.1775 18.5056
Yb 0.8395 9.4887 12.4153
Yb -0.4080 3.8619 9.8350
Zr 0.0000 0.0000 0.0000
Zr 3.1318 6.3346 10.4582
Al 1.3804 7.4793 15.8072
Al -0.9490 5.8712 6.4430
Al -1.8119 4.1258 3.5615
Al 2.2433 9.2247 18.6888
O -0.5551 4.3987 2.3372
O 0.9865 8.9518 19.9130
O -3.3787 4.7286 2.9830
O -0.1571 6.6387 16.0942
O 3.8101 8.6219 19.2673
O 0.5885 6.7118 6.1561
O -1.9230 2.3987 3.9582
O 2.6665 6.3089 15.4484
O 2.3544 10.9518 18.2920
O -2.2351 7.0416 6.8018
O 1.2108 8.6387 14.4732
O -0.7794 4.7118 7.7771
O -1.0947 0.0727 1.8076
O 1.5261 13.2778 20.4427
O -4.0815 0.4216 2.4907
O -0.9792 8.2106 12.0768
O 4.5129 12.9289 19.7596
O 1.4106 5.1399 10.1735
O -2.5416 -2.0429 3.5223
O 2.0076 7.8617 11.3937
O 2.9730 15.3934 18.7280
O -1.5762 5.4888 10.8565
O 0.4677 10.3262 10.3621
O -0.0363 3.0243 11.8882
O 1.8119 8.3520 17.2480
O -1.3805 4.9985 5.0022

=====

| no. | calculated total energy (eV per atom) |
| --- | --- |
| 1 | -7.003 |
| 2 | -4.371 |
| 3 | -6.949 |